# Al4ZnMo (GGA-PBE, optimized geometry)
# **D(E_F)**: 0.562 states/eV/atom
# **Energy above the lowest structure with this stoichiometry**: 72.8 meV per atom
# **Crystal system**: orthorhombic
# **Uncorrected energy**: -4.55 eV per atom
data_Al4ZnMo
_chemical_formula_sum 'Al8 Zn2 Mo2'
_space_group_name_H-M_alt 'C m m m'
_space_group_IT_number 65
_space_group_name_Hall '-C 2 2'
_cell_length_a 4.4970
_cell_length_b 8.9637
_cell_length_c 4.6139
_cell_angle_alpha 90.00
_cell_angle_beta 90.00
_cell_angle_gamma 90.00
loop_
_atom_site_label
_atom_site_fract_x
_atom_site_fract_y
_atom_site_fract_z
_atom_site_occupancy
Al1 0.0000 0.1525 0.0000 1
Al2 0.0000 0.3287 0.5000 1
Zn1 0.0000 0.5000 0.0000 1
Mo1 0.0000 0.0000 0.5000 1



# YCuSn2 (GGA-PBE, optimized geometry)
# **D(E_F)**: 0.631 states/eV/atom
# **Crystal system**: cubic
# **Uncorrected energy**: -4.74 eV per atom
data_YCuSn2
_chemical_formula_sum 'Y4 Cu4 Sn8'
_space_group_name_H-M_alt 'F m -3 m'
_space_group_IT_number 225
_space_group_name_Hall '-F 4 2 3'
_cell_length_a 7.2055
_cell_length_b 7.2055
_cell_length_c 7.2055
_cell_angle_alpha 90.00
_cell_angle_beta 90.00
_cell_angle_gamma 90.00
loop_
_atom_site_label
_atom_site_fract_x
_atom_site_fract_y
_atom_site_fract_z
_atom_site_occupancy
Y1 0.0000 0.0000 0.0000 1
Cu1 0.0000 0.0000 0.5000 1
Sn1 0.2500 0.2500 0.2500 1



Respective magnetization values: 0.00; 0.00 μB/cell.
Respective calculated volume values: 15.50; 23.38 A^3/atom.
Respective ΔH_f (0 K) values: -0.04; -0.10 eV/atom.